No. 1
Material: ZnTcAs2
Method: DFT, PBE
State: relaxed

Cell and atoms, written as POSCAR:
```
ZnTcAs2
1.0
6.3606 0.0000 0.0000
0.0000 6.3606 0.0000
0.0000 0.0000 6.3606
Zn Tc As
4 4 8
direct
0.0000 0.0000 0.0000
0.0000 0.5000 0.5000
0.5000 0.0000 0.5000
0.5000 0.5000 0.0000
0.2500 0.2500 0.7500
0.2500 0.7500 0.2500
0.7500 0.2500 0.2500
0.7500 0.7500 0.7500
0.0000 0.0000 0.5000
0.0000 0.5000 0.0000
0.2500 0.2500 0.2500
0.2500 0.7500 0.7500
0.5000 0.0000 0.0000
0.5000 0.5000 0.5000
0.7500 0.2500 0.7500
0.7500 0.7500 0.2500
```

Results
Symmetry: F-43m, No. 216
Total energy: -4.735 eV per atom
M_tot: 0.00 μB per formula unit
ΔH_f (0 K): 2.00 eV per formula unit

No. 2
Material: ZnTc2As2
Method: DFT, PBE
State: relaxed

Cell and atoms, written as POSCAR:
```
ZnTc2As2
1.0
7.2009 0.0000 0.0000
0.0000 7.2009 0.0000
0.0000 0.0000 2.9958
Zn Tc As
2 4 4
direct
0.0000 0.0000 0.0000
0.5000 0.5000 0.0000
0.1511 0.3489 0.5000
0.3489 0.8489 0.5000
0.6511 0.1511 0.5000
0.8489 0.6511 0.5000
0.1456 0.6456 0.0000
0.3544 0.1456 0.0000
0.6456 0.8544 0.0000
0.8544 0.3544 0.0000
```

Results
Symmetry: P4/mbm, No. 127
Total energy: -6.124 eV per atom
Offset from the most stable computed form: 0.69 eV per formula unit
M_tot: 0.00 μB per formula unit
ΔH_f (0 K): 0.69 eV per formula unit

No. 3
Material: ZnTcAs2
Method: DFT, PBE
State: relaxed

Cell and atoms, written as POSCAR:
```
ZnTcAs2
1.0
8.5491 0.0000 0.0000
0.0000 3.2581 0.0000
-0.3878 0.0000 5.1735
Zn Tc As
2 2 4
direct
0.0000 0.0000 0.0000
0.5000 0.5000 0.0000
0.1184 0.0000 0.5000
0.6185 0.5000 0.5000
0.2139 0.5000 0.8467
0.4011 0.0000 0.4312
0.7139 0.0000 0.8467
0.9011 0.5000 0.4312
```

Results
Symmetry: Cm, No. 8
Total energy: -5.233 eV per atom
M_tot: 0.00 μB per formula unit
ΔH_f (0 K): 0.01 eV per formula unit

No. 4
Material: ZnTc2As
Method: DFT, PBE
State: relaxed

Cell and atoms, written as POSCAR:
```
ZnTc2As
1.0
2.9064 0.0000 0.0000
0.0000 4.3804 0.0000
-1.3748 0.0000 4.7618
Zn Tc As
1 2 1
direct
0.0000 0.0000 0.0000
0.3246 0.5000 0.6881
0.7301 0.0000 0.4782
0.6076 0.5000 0.2312
```

Results
Symmetry: Pm, No. 6
Total energy: -6.550 eV per atom
Offset from the most stable computed form: 0.38 eV per formula unit
M_tot: 0.00 μB per formula unit
ΔH_f (0 K): 0.46 eV per formula unit